Computed, not measured: Na7Tl3Pb after structural relaxation at the PBE level of DFT.

a b c (Å): 7.062 7.062 8.219
angles (deg): 90.00 90.00 120.00
Fractional coordinates of all 11 atoms:
Na: 0.000 0.000 0.000
Na: 0.000 0.500 0.992
Na: 0.168 0.335 0.619
Na: 0.168 0.832 0.619
Na: 0.500 0.000 0.992
Na: 0.500 0.500 0.992
Na: 0.665 0.832 0.619
Tl: 0.343 0.171 0.311
Tl: 0.829 0.171 0.311
Tl: 0.829 0.657 0.311
Pb: 0.667 0.333 0.644

Results
- Electronic total energy: -1.867 eV per atom
- Space group: P3m1
- Energy relative to the elements: -0.045 eV/atom